Record 1
{"formula": "CaBiRh3", "functional": "SCAN", "state": "PBEsol geometry", "lattice_angstrom": [[4.670, 0.000, 0.000], [0.000, 4.670, 0.000], [0.000, 0.000, 4.670]], "species": ["Ca", "Rh", "Rh", "Rh", "Bi"], "frac_coords": [[0.000, 0.000, 0.000], [0.000, 0.500, 0.000], [0.000, 0.000, 0.500], [0.500, 0.000, 0.000], [0.500, 0.500, 0.500]], "m_tot_mub_per_fu": 0.00, "delta_e_f_ev_per_atom": 1.27}

Record 2
{"formula": "CaZrBi2Rh", "functional": "SCAN", "state": "PBEsol geometry", "lattice_angstrom": [[4.731, 0.000, 0.000], [0.000, 5.608, 0.000], [0.000, 0.000, 5.608]], "species": ["Ca", "Rh", "Bi", "Bi", "Zr"], "frac_coords": [[0.500, 0.500, 0.500], [0.500, 0.000, 0.000], [0.000, 0.000, 0.500], [0.000, 0.500, 0.000], [0.000, 0.000, 0.000]], "m_tot_mub_per_fu": 0.00, "delta_e_f_ev_per_atom": 0.04}

Record 3
{"formula": "SrCaBiRu2", "functional": "SCAN", "state": "PBEsol geometry", "lattice_angstrom": [[-0.980, 1.198, -4.806], [-2.930, -4.090, -0.422], [-4.521, 3.064, 1.686]], "species": ["Ru", "Ru", "Ca", "Bi", "Sr"], "frac_coords": [[0.000, 0.500, 0.000], [0.500, 0.000, 0.000], [0.500, 0.500, 0.500], [0.000, 0.000, 0.000], [0.000, 0.000, 0.500]], "m_tot_mub_per_fu": 0.00, "delta_e_f_ev_per_atom": 1.00}

Record 4
{"formula": "Ca2BiS", "functional": "SCAN", "state": "PBEsol geometry", "lattice_angstrom": [[6.651, -0.218, 0.000], [-2.527, 6.156, 0.000], [-2.062, -2.969, 5.588]], "species": ["S", "S", "Ca", "Ca", "Ca", "Ca", "Bi", "Bi"], "frac_coords": [[0.500, 0.500, 0.000], [0.750, 0.250, 0.500], [0.826, 0.875, 0.451], [0.424, 0.375, 0.549], [0.125, 0.576, 0.951], [0.625, 0.174, 0.049], [0.000, 0.000, 0.000], [0.250, 0.750, 0.500]], "e_tot_ev_per_atom": -28.101, "m_tot_mub_per_fu": 0.00}

Record 5
{"formula": "CaBiS3", "functional": "SCAN", "state": "PBEsol geometry", "lattice_angstrom": [[-2.559, 3.891, -2.172], [-3.061, 0.286, 4.118], [3.239, 3.345, 2.176]], "species": ["S", "S", "S", "Ca", "Bi"], "frac_coords": [[0.000, 0.500, 0.000], [0.000, 0.000, 0.500], [0.500, 0.000, 0.000], [0.500, 0.500, 0.500], [0.000, 0.000, 0.000]], "e_tot_ev_per_atom": -23.904, "m_tot_mub_per_fu": 0.00}

Record 6
{"formula": "Ca2BiSb2", "functional": "SCAN", "state": "PBEsol geometry", "lattice_angstrom": [[-4.003, 0.059, 1.539], [-2.322, -5.427, -5.832], [1.867, -6.276, 5.097]], "species": ["Sb", "Sb", "Sb", "Sb", "Ca", "Ca", "Ca", "Ca", "Bi", "Bi"], "frac_coords": [[0.000, 0.354, 0.854], [0.000, 0.854, 0.646], [0.000, 0.646, 0.146], [0.000, 0.146, 0.354], [0.500, 0.155, 0.655], [0.500, 0.655, 0.845], [0.500, 0.845, 0.345], [0.500, 0.345, 0.155], [0.000, 0.000, 0.000], [0.000, 0.500, 0.500]], "e_tot_ev_per_atom": -35.202, "m_tot_mub_per_fu": 0.13}